No. 1
This record from Alexandria describes a relaxed structure of LuMgPb2. The functional is PBE.

Symmetry: No. 123
Formation energy, kJ/mol of atoms: -23.2
DOS at the Fermi energy, states/eV per cell: 3.16

Geometry as POSCAR:
```
LuMgPb2
1.0
-3.5966 1.9129 1.4215
-1.3789 -4.2089 2.1750
2.3510 1.3588 4.1199
Pb Mg Lu
2 1 1
direct
0.0000 0.0000 0.5000
0.0000 0.5000 0.0000
0.5000 0.0000 0.0000
0.5000 0.5000 0.5000
```



No. 2
This record from Alexandria describes a relaxed structure of CaCeTm2Sb4. The functional is PBE.

Symmetry: No. 10
DOS at the Fermi energy, states/eV per cell: 4.17
Formation energy without anion corrections, eV per atom: -1.02

Geometry as POSCAR:
```
CaCeTm2Sb4
1.0
4.4224 0.0000 0.0000
0.0000 7.6673 -0.1812
0.0000 2.6683 7.1365
Ca Ce Tm Sb
1 1 2 4
direct
0.0000 0.5000 0.5000
0.5000 0.5000 0.0000
0.0000 0.0000 0.0000
0.5000 0.0000 0.5000
0.0000 0.7582 0.7493
0.0000 0.2418 0.2507
0.5000 0.7595 0.2427
0.5000 0.2405 0.7573
```



No. 3
This record from Alexandria describes a relaxed structure of YAg4Pb. The functional is PBE.

Symmetry: No. 191
Formation energy, kJ/mol of atoms: -14.4
DOS at the Fermi energy, states/eV per cell: 1.74

Geometry as POSCAR:
```
YAg4Pb
1.0
4.8987 0.0000 0.0000
-2.4493 4.2424 0.0000
0.0000 0.0000 6.3438
Y Ag Pb
1 4 1
direct
0.0000 0.0000 0.5000
0.3333 0.6667 0.2598
0.3333 0.6667 0.7402
0.6667 0.3333 0.2598
0.6667 0.3333 0.7402
0.0000 0.0000 0.0000
```



No. 4
This record from Alexandria describes a relaxed structure of La2PrTe. The functional is PBE.

Symmetry: No. 123
DOS at the Fermi energy, states/eV per cell: 4.82
Formation energy without anion corrections, eV per atom: -0.64

Geometry as POSCAR:
```
La2PrTe
1.0
-0.5089 2.7120 2.9238
-3.8378 0.4682 -1.1023
-2.2842 -6.1750 5.3301
Pr Te La
1 1 2
direct
0.5000 0.5000 0.0000
0.5000 0.5000 0.5000
0.0000 0.0000 0.7155
0.0000 0.0000 0.2845
```



No. 5
This record from Alexandria describes a relaxed structure of Sr4Cd2N. The functional is PBE.

Symmetry: No. 62
DOS at the Fermi energy, states/eV per cell: 19.16
Formation energy without anion corrections, eV per atom: -0.32

Geometry as POSCAR:
```
Sr4Cd2N
1.0
-6.2794 -4.1907 -2.0909
2.5095 -6.9781 6.4494
-7.3475 6.2235 9.5926
Sr Cd N
16 8 4
direct
0.5086 0.7041 0.8399
0.4914 0.2959 0.1601
0.4914 0.7959 0.3399
0.0086 0.2959 0.1601
0.5086 0.2041 0.6601
0.9914 0.7041 0.8399
0.9914 0.2041 0.6601
0.0086 0.7959 0.3399
0.7500 0.0226 0.9231
0.2500 0.9774 0.0769
0.2500 0.4774 0.4231
0.7500 0.5226 0.5769
0.7500 0.1729 0.4200
0.2500 0.8271 0.5800
0.2500 0.3271 0.9200
0.7500 0.6729 0.0800
0.7500 0.5043 0.3146
0.2500 0.4957 0.6854
0.2500 0.9957 0.8146
0.7500 0.0043 0.1854
0.7500 0.8846 0.6120
0.2500 0.1154 0.3880
0.2500 0.6154 0.1120
0.7500 0.3846 0.8880
0.7500 0.7832 0.9259
0.2500 0.2168 0.0741
0.2500 0.7168 0.4259
0.7500 0.2832 0.5741
```



No. 6
This record from Alexandria describes a relaxed structure of Mg2SnGe2Rh5. The functional is PBE.

Symmetry: No. 127
Formation energy, kJ/mol of atoms: -53.6
DOS at the Fermi energy, states/eV per cell: 7.19

Geometry as POSCAR:
```
Mg2SnGe2Rh5
1.0
3.5330 0.0000 0.0000
0.0000 9.5941 0.0000
0.0000 0.0000 9.5941
Mg Sn Ge Rh
4 2 4 10
direct
0.0000 0.6713 0.1713
0.0000 0.3287 0.8287
0.0000 0.1713 0.3287
0.0000 0.8287 0.6713
0.0000 0.0000 0.0000
0.0000 0.5000 0.5000
0.0000 0.1275 0.6275
0.0000 0.8725 0.3725
0.0000 0.6275 0.8725
0.0000 0.3725 0.1275
0.5000 0.2045 0.0755
0.5000 0.7955 0.9245
0.5000 0.0755 0.7955
0.5000 0.7045 0.4245
0.5000 0.9245 0.2045
0.5000 0.2955 0.5755
0.5000 0.5755 0.7045
0.5000 0.4245 0.2955
0.5000 0.5000 0.0000
0.5000 0.0000 0.5000
```



No. 7
This record from Alexandria describes a relaxed structure of La2TeCl. The functional is PBE.

Symmetry: No. 225
DOS at the Fermi energy, states/eV per cell: 3.32
Formation energy without anion corrections, eV per atom: -1.43

Geometry as POSCAR:
```
La2TeCl
1.0
0.0277 -5.3418 -0.8281
-0.8147 -3.3810 4.1385
-4.6063 -2.8100 0.3281
Cl Te La
1 1 2
direct
0.0000 0.0000 0.0000
0.5000 0.5000 0.5000
0.2500 0.2500 0.2500
0.7500 0.7500 0.7500
```



No. 8
This record from Alexandria describes a relaxed structure of Ac7TlPb5. The functional is PBE.

Symmetry: No. 44
Formation energy, kJ/mol of atoms: -30.7
DOS at the Fermi energy, states/eV per cell: 13.85

Geometry as POSCAR:
```
Ac7TlPb5
1.0
-3.8033 -5.5868 -1.3069
0.6111 -2.5999 -8.7929
4.6019 -7.7709 1.6981
Ac Tl Pb
7 1 5
direct
0.6403 0.3597 0.3597
0.2467 0.7533 0.7533
0.0038 0.3261 0.6663
0.0038 0.6663 0.3261
0.2834 0.2166 0.2166
0.5287 0.8070 0.1356
0.5287 0.1356 0.8070
0.9442 0.0558 0.0558
0.5107 0.9958 0.4793
0.0141 0.9958 0.4793
0.5107 0.4793 0.9958
0.0141 0.4793 0.9958
0.7706 0.7294 0.7294
```



No. 9
This record from Alexandria describes a relaxed structure of Th6Os2RuCl3. The functional is PBE.

Symmetry: No. 12
DOS at the Fermi energy, states/eV per cell: 9.37
Formation energy without anion corrections, eV per atom: -0.91

Geometry as POSCAR:
```
Th6Os2RuCl3
1.0
4.1994 0.0000 0.0000
0.0000 9.0020 -0.1418
-2.0997 -3.0659 9.1642
Th Os Ru Cl
6 2 1 3
direct
0.3468 0.8856 0.6935
0.6792 0.5510 0.3585
0.6532 0.1144 0.3065
0.0130 0.2177 0.0259
0.9870 0.7823 0.9741
0.3208 0.4490 0.6415
0.8338 0.6683 0.6675
0.1662 0.3317 0.3325
0.5000 0.0000 0.0000
0.5000 0.5000 0.0000
0.8345 0.1701 0.6691
0.1655 0.8299 0.3309
```



No. 10
This record from Alexandria describes a relaxed structure of Tl3NiAu. The functional is PBE.

Symmetry: No. 221
Formation energy, kJ/mol of atoms: 70.3
DOS at the Fermi energy, states/eV per cell: 8.84

Geometry as POSCAR:
```
Tl3NiAu
1.0
-3.6680 4.0466 0.8587
-4.1258 -3.6618 -0.3675
0.2997 -0.8846 5.4492
Ni Tl Au
1 3 1
direct
0.5000 0.5000 0.5000
0.0000 0.5000 0.0000
0.0000 0.0000 0.5000
0.5000 0.0000 0.0000
0.0000 0.0000 0.0000
```



No. 11
This record from Alexandria describes a relaxed structure of K4Hg2Au3. The functional is PBE.

Symmetry: No. 12
Formation energy, kJ/mol of atoms: -23.3
DOS at the Fermi energy, states/eV per cell: 2.94

Geometry as POSCAR:
```
K4Hg2Au3
1.0
4.1913 0.0000 -1.1556
-0.6977 7.5806 -2.5306
0.3897 0.0197 9.5915
K Hg Au
4 2 3
direct
0.2501 0.7208 0.5001
0.7499 0.2792 0.4999
0.5578 0.8672 0.1156
0.4422 0.1328 0.8844
0.3905 0.5065 0.7810
0.6095 0.4935 0.2190
0.1015 0.2380 0.2031
0.8985 0.7620 0.7969
0.0000 0.5000 0.0000
```